1.
This record from Alexandria via LeMat-Bulk describes a geometry-optimized Ba2ZnInGa structure. The functional is GGA-PBE.

Calculated values
E = -2.056 eV/atom
DOS(E_F) = 4.39 states/eV/f.u.
energy of formation = 0.121 eV per atom
symmetry = P4/mmm, No. 123

Cell and atoms, written as extended XYZ:
```
5
Lattice="-0.442 6.499 -1.539 -3.496 0.599 3.535 4.772 1.386 4.485" Properties=species:S:1:pos:R:3 pbc="T T T"
Zn 0.417 4.242 3.240
Ba 2.386 0.693 2.242
Ba -0.221 3.250 -0.769
Ga -1.748 0.300 1.767
In 0.000 0.000 0.000
```

---

2.
This record from Alexandria via LeMat-Bulk describes a geometry-optimized Ba2ZnIn3Ga4 structure. The functional is GGA-PBE.

Calculated values
E = -2.905 eV/atom
DOS(E_F) = 3.23 states/eV/f.u.
energy of formation = -0.361 eV per atom
symmetry = P-4m2, No. 115

Cell and atoms, written as extended XYZ:
```
10
Lattice="4.791 0.000 0.000 0.000 4.791 0.000 0.000 0.000 11.373" Properties=species:S:1:pos:R:3 pbc="T T T"
Ba 2.396 0.000 2.867
Ba 0.000 2.396 8.506
Zn 2.396 2.396 5.686
In 0.000 0.000 5.686
In 2.396 0.000 9.866
In 0.000 2.396 1.507
Ga 2.396 2.396 0.000
Ga 0.000 0.000 0.000
Ga 2.396 0.000 7.107
Ga 0.000 2.396 4.266
```

---

3.
This record from Alexandria via LeMat-Bulk describes a geometry-optimized Ba2Zn4In3Ga structure. The functional is GGA-PBE.

Calculated values
E = -2.310 eV/atom
DOS(E_F) = 4.65 states/eV/f.u.
energy of formation = -0.292 eV per atom
symmetry = P-4m2, No. 115

Cell and atoms, written as extended XYZ:
```
10
Lattice="4.728 0.000 0.000 0.000 4.728 0.000 0.000 0.000 11.451" Properties=species:S:1:pos:R:3 pbc="T T T"
Ba 2.364 0.000 2.868
Ba 0.000 2.364 8.583
Zn 2.364 2.364 0.000
Zn 0.000 0.000 0.000
Zn 2.364 0.000 7.193
Zn 0.000 2.364 4.257
In 0.000 0.000 5.725
In 2.364 0.000 9.974
In 0.000 2.364 1.477
Ga 2.364 2.364 5.725
```

---

What is the formula in the first record? Ba2ZnInGa